Record 1
Material: PrGe2Pd10
Method: DFT, PBE
State: optimized geometry

```
data_PrGe2Pd10
_chemical_formula_sum 'Pr4 Ge8 Pd40'
_cell_length_a 5.409
_cell_length_b 12.470
_cell_length_c 12.967
_cell_angle_alpha 90.00
_cell_angle_beta 90.00
_cell_angle_gamma 90.00
_symmetry_space_group_name_H-M 'F m m m'
_symmetry_Int_Tables_number 69
_symmetry_space_group_name_Hall '-F 2 2'
loop_
_atom_site_label
_atom_site_fract_x
_atom_site_fract_y
_atom_site_fract_z
_atom_site_occupancy
Pr1 0.000 0.000 0.000 1
Ge1 0.250 0.000 0.250 1
Pd1 0.000 0.109 0.383 1
Pd2 0.000 0.165 0.174 1
Pd3 0.250 0.250 0.000 1
```

Values from the calculation:
- ΔH_f (0 K): -417 meV per atom


Record 2
Material: PrGePd
Method: DFT, PBE
State: optimized geometry

```
data_PrGePd
_chemical_formula_sum 'Pr4 Ge4 Pd4'
_cell_length_a 8.636
_cell_length_b 7.728
_cell_length_c 4.538
_cell_angle_alpha 90.00
_cell_angle_beta 121.60
_cell_angle_gamma 90.00
_symmetry_space_group_name_H-M 'C 1 2 1'
_symmetry_Int_Tables_number 5
loop_
_symmetry_equiv_pos_as_xyz
'x,y,z'
'-x,y,-z'
'x+1/2,y+1/2,z'
'-x+1/2,y+1/2,-z'
loop_
_atom_site_label
_atom_site_fract_x
_atom_site_fract_y
_atom_site_fract_z
_atom_site_occupancy
Pr1 0.000 0.000 0.000 1
Pr2 0.000 0.425 0.500 1
Ge1 0.195 0.628 0.196 1
Pd1 0.213 0.794 0.713 1
```

Values from the calculation:
- ΔH_f (0 K): -920 meV per atom


Record 3
Material: Pr2GePd6
Method: DFT, PBE
State: optimized geometry

```
data_Pr2GePd6
_chemical_formula_sum 'Pr4 Ge2 Pd12'
_cell_length_a 9.983
_cell_length_b 5.788
_cell_length_c 6.153
_cell_angle_alpha 90.00
_cell_angle_beta 104.06
_cell_angle_gamma 90.00
_symmetry_space_group_name_H-M 'C 1 2/m 1'
_symmetry_Int_Tables_number 12
loop_
_symmetry_equiv_pos_as_xyz
'x,y,z'
'-x,-y,-z'
'-x,y,-z'
'x,-y,z'
'x+1/2,y+1/2,z'
'-x+1/2,-y+1/2,-z'
'-x+1/2,y+1/2,-z'
'x+1/2,-y+1/2,z'
loop_
_atom_site_label
_atom_site_fract_x
_atom_site_fract_y
_atom_site_fract_z
_atom_site_occupancy
Pr1 0.142 0.000 0.334 1
Ge1 0.000 0.500 0.500 1
Pd1 0.124 0.500 0.196 1
Pd2 0.133 0.242 0.814 1
```

Values from the calculation:
- E above lowest polymorph: 0.003 eV per atom
- ΔH_f (0 K): -749 meV per atom


Record 4
Material: PrGe2Pd5
Method: DFT, PBE
State: optimized geometry

```
data_PrGe2Pd5
_chemical_formula_sum 'Pr2 Ge4 Pd10'
_cell_length_a 3.978
_cell_length_b 7.266
_cell_length_c 9.904
_cell_angle_alpha 90.00
_cell_angle_beta 90.00
_cell_angle_gamma 90.00
_symmetry_space_group_name_H-M 'I m m m'
_symmetry_Int_Tables_number 71
_symmetry_space_group_name_Hall '-I 2 2'
loop_
_atom_site_label
_atom_site_fract_x
_atom_site_fract_y
_atom_site_fract_z
_atom_site_occupancy
Pr1 0.000 0.000 0.000 1
Ge1 0.000 0.500 0.248 1
Pd1 0.000 0.194 0.353 1
Pd2 0.000 0.500 0.000 1
```

Values from the calculation:
- ΔH_f (0 K): -668 meV per atom


Record 5
Material: Pr2Ge3Pd5
Method: DFT, PBE
State: optimized geometry

```
data_Pr2Ge3Pd5
_chemical_formula_sum 'Pr8 Ge12 Pd20'
_cell_length_a 4.448
_cell_length_b 24.260
_cell_length_c 7.008
_cell_angle_alpha 90.00
_cell_angle_beta 90.00
_cell_angle_gamma 90.00
_symmetry_space_group_name_H-M 'C m c 21'
_symmetry_Int_Tables_number 36
loop_
_symmetry_equiv_pos_as_xyz
'x,y,z'
'-x,-y,z+1/2'
'-x,y,z'
'x,-y,z+1/2'
'x+1/2,y+1/2,z'
'-x+1/2,-y+1/2,z+1/2'
'-x+1/2,y+1/2,z'
'x+1/2,-y+1/2,z+1/2'
loop_
_atom_site_label
_atom_site_fract_x
_atom_site_fract_y
_atom_site_fract_z
_atom_site_occupancy
Pr1 0.000 0.021 0.000 1
Pr2 0.000 0.326 0.013 1
Ge1 0.000 0.103 0.678 1
Ge2 0.000 0.275 0.572 1
Ge3 0.000 0.445 0.804 1
Pd1 0.000 0.109 0.293 1
Pd2 0.000 0.197 0.858 1
Pd3 0.000 0.226 0.257 1
Pd4 0.000 0.376 0.517 1
Pd5 0.000 0.449 0.195 1
```

Values from the calculation:
- E above lowest polymorph: 0.000 eV per atom
- ΔH_f (0 K): -737 meV per atom


Record 6
Material: Pr3Ge2Pd3
Method: DFT, PBE
State: optimized geometry

```
data_Pr3Ge2Pd3
_chemical_formula_sum 'Pr12 Ge8 Pd12'
_cell_length_a 4.441
_cell_length_b 10.696
_cell_length_c 15.200
_cell_angle_alpha 90.00
_cell_angle_beta 90.00
_cell_angle_gamma 90.00
_symmetry_space_group_name_H-M 'C m c m'
_symmetry_Int_Tables_number 63
_symmetry_space_group_name_Hall '-C 2c 2'
loop_
_atom_site_label
_atom_site_fract_x
_atom_site_fract_y
_atom_site_fract_z
_atom_site_occupancy
Pr1 0.000 0.086 0.103 1
Pr2 0.000 0.381 0.250 1
Ge1 0.000 0.204 0.604 1
Pd1 0.000 0.329 0.750 1
Pd2 0.000 0.373 0.038 1
```

Values from the calculation:
- E above lowest polymorph: 0.022 eV per atom
- ΔH_f (0 K): -828 meV per atom


Record 7
Material: Pr2Ge3Pd6
Method: DFT, PBE
State: optimized geometry

```
data_Pr2Ge3Pd6
_chemical_formula_sum 'Pr2 Ge3 Pd6'
_cell_length_a 7.4828
_cell_length_b 7.4828
_cell_length_c 4.3969
_cell_angle_alpha 90.00
_cell_angle_beta 90.00
_cell_angle_gamma 120.00
_symmetry_space_group_name_H-M 'P -6 2 m'
_symmetry_Int_Tables_number 189
_symmetry_space_group_name_Hall 'P -6 -2'
loop_
_atom_site_label
_atom_site_fract_x
_atom_site_fract_y
_atom_site_fract_z
_atom_site_occupancy
Pr1 0.3333 0.6667 0.0000 1
Ge1 0.0000 0.6293 0.5000 1
Pd1 0.0000 0.2971 0.5000 1
Pd2 0.0000 0.7892 0.0000 1
```

Values from the calculation:
- ΔH_f (0 K): -733 meV per atom


Record 8
Material: Pr2Ge6Pd21
Method: DFT, PBE
State: optimized geometry

```
data_Pr2Ge6Pd21
_chemical_formula_sum 'Pr8 Ge24 Pd84'
_cell_length_a 12.509
_cell_length_b 12.509
_cell_length_c 12.509
_cell_angle_alpha 90.00
_cell_angle_beta 90.00
_cell_angle_gamma 90.00
_symmetry_space_group_name_H-M 'F m -3 m'
_symmetry_Int_Tables_number 225
_symmetry_space_group_name_Hall '-F 4 2 3'
loop_
_atom_site_label
_atom_site_fract_x
_atom_site_fract_y
_atom_site_fract_z
_atom_site_occupancy
Pr1 0.250 0.250 0.250 1
Ge1 0.000 0.000 0.235 1
Pd1 0.000 0.000 0.500 1
Pd2 0.000 0.173 0.327 1
Pd3 0.116 0.116 0.116 1
```

Values from the calculation:
- ΔH_f (0 K): -554 meV per atom


Record 9
Material: PrGePd4
Method: DFT, PBE
State: optimized geometry

```
data_PrGePd4
_chemical_formula_sum 'Pr2 Ge2 Pd8'
_cell_length_a 7.791
_cell_length_b 3.987
_cell_length_c 7.099
_cell_angle_alpha 90.00
_cell_angle_beta 90.00
_cell_angle_gamma 90.00
_symmetry_space_group_name_H-M 'P m m a'
_symmetry_Int_Tables_number 51
loop_
_symmetry_equiv_pos_as_xyz
'x,y,z'
'-x,-y,-z'
'-x+1/2,-y,z'
'x+1/2,y,-z'
'x+1/2,-y,-z'
'-x+1/2,y,z'
'-x,y,-z'
'x,-y,z'
loop_
_atom_site_label
_atom_site_fract_x
_atom_site_fract_y
_atom_site_fract_z
_atom_site_occupancy
Pr1 0.250 0.000 0.138 1
Ge1 0.250 0.000 0.712 1
Pd1 0.000 0.000 0.500 1
Pd2 0.056 0.500 0.805 1
Pd3 0.250 0.500 0.455 1
```

Values from the calculation:
- E above lowest polymorph: 0.000 eV per atom
- ΔH_f (0 K): -653 meV per atom


Record 10
Material: PrGe2Pd2
Method: DFT, PBE
State: optimized geometry

```
data_PrGe2Pd2
_chemical_formula_sum 'Pr2 Ge4 Pd4'
_cell_length_a 3.461
_cell_length_b 3.461
_cell_length_c 55.115
_cell_angle_alpha 90.00
_cell_angle_beta 90.00
_cell_angle_gamma 90.00
_symmetry_space_group_name_H-M 'I 4/m m m'
_symmetry_Int_Tables_number 139
_symmetry_space_group_name_Hall '-I 4 2'
loop_
_atom_site_label
_atom_site_fract_x
_atom_site_fract_y
_atom_site_fract_z
_atom_site_occupancy
Pr1 0.000 0.000 0.000 1
Ge1 0.000 0.000 0.053 1
Pd1 0.000 0.500 0.250 1
```

Values from the calculation:
- ΔH_f (0 K): 1205 meV per atom


Record 11
Material: PrGePd4
Method: DFT, PBE
State: optimized geometry

```
data_PrGePd4
_chemical_formula_sum 'Pr4 Ge4 Pd16'
_cell_length_a 7.642
_cell_length_b 7.642
_cell_length_c 7.642
_cell_angle_alpha 90.00
_cell_angle_beta 90.00
_cell_angle_gamma 90.00
_symmetry_space_group_name_H-M 'F -4 3 m'
_symmetry_Int_Tables_number 216
_symmetry_space_group_name_Hall 'F -4 2 3'
loop_
_atom_site_label
_atom_site_fract_x
_atom_site_fract_y
_atom_site_fract_z
_atom_site_occupancy
Pr1 0.000 0.000 0.000 1
Ge1 0.250 0.250 0.750 1
Pd1 0.124 0.124 0.376 1
```

Values from the calculation:
- E above lowest polymorph: 0.179 eV per atom
- ΔH_f (0 K): -474 meV per atom


Record 12
Material: PrGe3Pd3
Method: DFT, PBE
State: optimized geometry

```
data_PrGe3Pd3
_chemical_formula_sum 'Pr2 Ge6 Pd6'
_cell_length_a 8.966
_cell_length_b 4.608
_cell_length_c 8.974
_cell_angle_alpha 90.00
_cell_angle_beta 119.95
_cell_angle_gamma 90.00
_symmetry_space_group_name_H-M 'P 1 21/m 1'
_symmetry_Int_Tables_number 11
loop_
_symmetry_equiv_pos_as_xyz
'x,y,z'
'-x,-y,-z'
'-x,y+1/2,-z'
'x,-y+1/2,z'
loop_
_atom_site_label
_atom_site_fract_x
_atom_site_fract_y
_atom_site_fract_z
_atom_site_occupancy
Pr1 0.167 0.250 0.333 1
Ge1 0.103 0.250 0.949 1
Ge2 0.153 0.750 0.603 1
Ge3 0.449 0.750 0.346 1
Pd1 0.120 0.250 0.686 1
Pd2 0.186 0.750 0.066 1
Pd3 0.433 0.750 0.619 1
```

Values from the calculation:
- E above lowest polymorph: 0.013 eV per atom
- ΔH_f (0 K): -479 meV per atom


Record 13
Material: PrGePd
Method: DFT, PBE
State: optimized geometry

```
data_PrGePd
_chemical_formula_sum 'Pr4 Ge4 Pd4'
_cell_length_a 10.582
_cell_length_b 4.504
_cell_length_c 7.517
_cell_angle_alpha 90.00
_cell_angle_beta 133.07
_cell_angle_gamma 90.00
_symmetry_space_group_name_H-M 'C 1 2/m 1'
_symmetry_Int_Tables_number 12
loop_
_symmetry_equiv_pos_as_xyz
'x,y,z'
'-x,-y,-z'
'-x,y,-z'
'x,-y,z'
'x+1/2,y+1/2,z'
'-x+1/2,-y+1/2,-z'
'-x+1/2,y+1/2,-z'
'x+1/2,-y+1/2,z'
loop_
_atom_site_label
_atom_site_fract_x
_atom_site_fract_y
_atom_site_fract_z
_atom_site_occupancy
Pr1 0.039 0.000 0.299 1
Ge1 0.160 0.500 0.109 1
Pd1 0.181 0.500 0.724 1
```

Values from the calculation:
- ΔH_f (0 K): -842 meV per atom


Record 14
Material: Pr2Ge3Pd2
Method: DFT, PBE
State: optimized geometry

```
data_Pr2Ge3Pd2
_chemical_formula_sum 'Pr8 Ge12 Pd8'
_cell_length_a 4.361
_cell_length_b 18.705
_cell_length_c 7.157
_cell_angle_alpha 90.00
_cell_angle_beta 90.00
_cell_angle_gamma 90.00
_symmetry_space_group_name_H-M 'C m c m'
_symmetry_Int_Tables_number 63
_symmetry_space_group_name_Hall '-C 2c 2'
loop_
_atom_site_label
_atom_site_fract_x
_atom_site_fract_y
_atom_site_fract_z
_atom_site_occupancy
Pr1 0.000 0.054 0.250 1
Pr2 0.000 0.156 0.750 1
Ge1 0.000 0.223 0.250 1
Ge2 0.000 0.438 0.067 1
Pd1 0.000 0.305 0.550 1
```

Values from the calculation:
- E above lowest polymorph: 0.000 eV per atom
- ΔH_f (0 K): -850 meV per atom


Record 15
Material: PrGePd
Method: DFT, PBE
State: optimized geometry

```
data_PrGePd
_chemical_formula_sum 'Pr4 Ge4 Pd4'
_cell_length_a 7.399
_cell_length_b 4.518
_cell_length_c 7.717
_cell_angle_alpha 90.00
_cell_angle_beta 90.00
_cell_angle_gamma 90.00
_symmetry_space_group_name_H-M 'P n m a'
_symmetry_Int_Tables_number 62
loop_
_symmetry_equiv_pos_as_xyz
'x,y,z'
'-x,-y,-z'
'-x+1/2,-y,z+1/2'
'x+1/2,y,-z+1/2'
'x+1/2,-y+1/2,-z+1/2'
'-x+1/2,y+1/2,z+1/2'
'-x,y+1/2,-z'
'x,-y+1/2,z'
loop_
_atom_site_label
_atom_site_fract_x
_atom_site_fract_y
_atom_site_fract_z
_atom_site_occupancy
Pr1 0.004 0.250 0.205 1
Ge1 0.196 0.250 0.588 1
Pd1 0.196 0.750 0.418 1
```

Values from the calculation:
- ΔH_f (0 K): -902 meV per atom


Record 16
Material: Pr4Ge3Pd
Method: DFT, PBE
State: optimized geometry

```
data_Pr4Ge3Pd
_chemical_formula_sum 'Pr4 Ge3 Pd1'
_cell_length_a 4.238
_cell_length_b 4.353
_cell_length_c 11.293
_cell_angle_alpha 90.00
_cell_angle_beta 90.00
_cell_angle_gamma 90.00
_symmetry_space_group_name_H-M 'P m m 2'
_symmetry_Int_Tables_number 25
loop_
_symmetry_equiv_pos_as_xyz
'x,y,z'
'-x,-y,z'
'-x,y,z'
'x,-y,z'
loop_
_atom_site_label
_atom_site_fract_x
_atom_site_fract_y
_atom_site_fract_z
_atom_site_occupancy
Pr1 0.000 0.000 0.000 1
Pr2 0.000 0.500 0.495 1
Pr3 0.500 0.000 0.271 1
Pr4 0.500 0.500 0.776 1
Ge1 0.000 0.000 0.714 1
Ge2 0.000 0.500 0.215 1
Ge3 0.500 0.000 0.554 1
Pd1 0.500 0.500 0.060 1
```

Values from the calculation:
- ΔH_f (0 K): -790 meV per atom


Record 17
Material: PrGe3Pd5
Method: DFT, PBE
State: optimized geometry

```
data_PrGe3Pd5
_chemical_formula_sum 'Pr4 Ge12 Pd20'
_cell_length_a 3.943
_cell_length_b 13.058
_cell_length_c 12.869
_cell_angle_alpha 90.00
_cell_angle_beta 90.00
_cell_angle_gamma 90.00
_symmetry_space_group_name_H-M 'C m c m'
_symmetry_Int_Tables_number 63
_symmetry_space_group_name_Hall '-C 2c 2'
loop_
_atom_site_label
_atom_site_fract_x
_atom_site_fract_y
_atom_site_fract_z
_atom_site_occupancy
Pr1 0.000 0.144 0.250 1
Ge1 0.000 0.121 0.750 1
Ge2 0.000 0.383 0.544 1
Pd1 0.000 0.000 0.000 1
Pd2 0.000 0.202 0.573 1
Pd3 0.000 0.448 0.145 1
```

Values from the calculation:
- ΔH_f (0 K): -628 meV per atom


Record 18
Material: Pr3Ge4Pd2
Method: DFT, PBE
State: optimized geometry

```
data_Pr3Ge4Pd2
_chemical_formula_sum 'Pr6 Ge8 Pd4'
_cell_length_a 10.995
_cell_length_b 4.429
_cell_length_c 8.586
_cell_angle_alpha 90.00
_cell_angle_beta 107.12
_cell_angle_gamma 90.00
_symmetry_space_group_name_H-M 'C 1 2/m 1'
_symmetry_Int_Tables_number 12
loop_
_symmetry_equiv_pos_as_xyz
'x,y,z'
'-x,-y,-z'
'-x,y,-z'
'x,-y,z'
'x+1/2,y+1/2,z'
'-x+1/2,-y+1/2,-z'
'-x+1/2,y+1/2,-z'
'x+1/2,-y+1/2,z'
loop_
_atom_site_label
_atom_site_fract_x
_atom_site_fract_y
_atom_site_fract_z
_atom_site_occupancy
Pr1 0.000 0.000 0.000 1
Pr2 0.130 0.500 0.694 1
Ge1 0.085 0.000 0.407 1
Ge2 0.212 0.500 0.065 1
Pd1 0.179 0.500 0.348 1
```

Values from the calculation:
- ΔH_f (0 K): -842 meV per atom


Record 19
Material: Pr3Ge2Pd5
Method: DFT, PBE
State: optimized geometry

```
data_Pr3Ge2Pd5
_chemical_formula_sum 'Pr12 Ge8 Pd20'
_cell_length_a 12.045
_cell_length_b 12.076
_cell_length_c 5.989
_cell_angle_alpha 90.00
_cell_angle_beta 90.00
_cell_angle_gamma 90.00
_symmetry_space_group_name_H-M 'I b a m'
_symmetry_Int_Tables_number 72
_symmetry_space_group_name_Hall '-I 2 2c'
loop_
_atom_site_label
_atom_site_fract_x
_atom_site_fract_y
_atom_site_fract_z
_atom_site_occupancy
Pr1 0.000 0.000 0.250 1
Pr2 0.205 0.388 0.000 1
Ge1 0.158 0.141 0.000 1
Pd1 0.000 0.239 0.250 1
Pd2 0.000 0.500 0.250 1
Pd3 0.142 0.363 0.500 1
```

Values from the calculation:
- ΔH_f (0 K): -579 meV per atom


Record 20
Material: PrGe12Pd4
Method: DFT, PBE
State: optimized geometry

```
data_PrGe12Pd4
_chemical_formula_sum 'Pr2 Ge24 Pd8'
_cell_length_a 8.719
_cell_length_b 8.719
_cell_length_c 8.719
_cell_angle_alpha 90.00
_cell_angle_beta 90.00
_cell_angle_gamma 90.00
_symmetry_space_group_name_H-M 'I m -3'
_symmetry_Int_Tables_number 204
_symmetry_space_group_name_Hall '-I 2 2 3'
loop_
_atom_site_label
_atom_site_fract_x
_atom_site_fract_y
_atom_site_fract_z
_atom_site_occupancy
Pr1 0.000 0.000 0.000 1
Ge1 0.000 0.152 0.355 1
Pd1 0.250 0.250 0.250 1
```

Values from the calculation:
- ΔH_f (0 K): -277 meV per atom